1.
Compound: Tm8CoSb2
Source: the Alexandria database
Functional: GGA-PBE
Structure: optimized geometry

Lattice parameters (Å, degrees): 4.4322 7.2746 9.5618 95.99 103.40 90.00
Last column: nearest neighbours and their distance in Å.
Positions (direct):
Tm 0.5945 0.5184 0.1890  2 Sb 3.21, 8 Tm 3.45-3.59
Sb 0.1814 0.7727 0.3628  8 Tm 3.12-3.39
Tm 0.7858 0.6531 0.5715  3 Sb 3.13-3.22, 6 Tm 3.32-3.47
Tm 0.3649 0.9621 0.7299  1 Co 2.50
Tm 0.6351 0.0379 0.2701  1 Co 2.50
Tm 0.4055 0.4816 0.8110  2 Sb 3.21, 8 Tm 3.45-3.59
Tm 0.9997 0.7801 0.9993  2 Co 2.73
Sb 0.8186 0.2273 0.6372  8 Tm 3.12-3.39
Tm 0.2142 0.3469 0.4285  3 Sb 3.13-3.22, 6 Tm 3.32-3.47
Co 0.5000 0.0000 0.0000  6 Tm 2.50-2.73
Tm 0.0003 0.2199 0.0007  2 Co 2.73

Output
Energy relative to the elements, uncorrected in eV/atom: -0.40
Space-group type: No. 12
Total energy in eV/atom: -5.051

2.
Compound: Tm12Co5Sb
Source: the Alexandria database
Functional: GGA-PBE
Structure: optimized geometry

Lattice parameters (Å, degrees): 8.1529 8.1529 8.1529 106.61 110.99 110.84
Last column: nearest neighbours and their distance in Å.
Positions (direct):
Tm 0.8975 0.1840 0.7135  3 Co 2.83-3.15
Co 0.5000 0.1127 0.6127  1 Co 2.20
Tm 0.6929 0.6871 0.3800  3 Co 2.64-2.80
Tm 0.1025 0.8160 0.2865  3 Co 2.83-3.15
Sb 0.0000 0.5000 0.5000  12 Tm 3.34-3.53
Co 0.0000 0.0000 0.0000  4 Tm 2.74
Tm 0.8057 0.5941 0.7884  2 Co 2.65-2.74
Tm 0.1943 0.9827 0.7884  2 Co 2.65-2.74
Tm 0.1943 0.4059 0.2116  2 Co 2.65-2.74
Co 0.3741 0.3741 0.0000  1 Co 2.33
Co 0.5000 0.8873 0.3873  1 Co 2.20
Co 0.6259 0.6259 0.0000  1 Co 2.33
Tm 0.3071 0.3129 0.6200  3 Co 2.64-2.80
Tm 0.5295 0.8160 0.7135  3 Co 2.83-3.15
Tm 0.6929 0.3129 0.0058  3 Co 2.64-2.80
Tm 0.4705 0.1840 0.2865  3 Co 2.83-3.15
Tm 0.8057 0.0173 0.2116  2 Co 2.65-2.74
Tm 0.3071 0.6871 0.9942  3 Co 2.64-2.80

Output
Energy relative to the elements, uncorrected in eV/atom: -0.35
Space-group type: No. 71
Total energy in eV/atom: -5.529

3.
Compound: UCoSb
Source: the Alexandria database
Functional: GGA-PBE
Structure: optimized geometry

Lattice parameters (Å, degrees): 4.1208 4.1177 9.2105 116.55 90.00 120.03
Last column: nearest neighbours and their distance in Å.
Positions (direct):
Sb 0.2447 0.4894 0.8669  3 Co 2.52
U 0.7239 0.4478 0.5861  3 U 2.74, 4 Co 2.75-2.76
U 0.2761 0.5522 0.4139  3 U 2.74, 4 Co 2.75-2.76
Sb 0.7553 0.5106 0.1331  3 Co 2.52
Co 0.4912 0.9824 0.2373  3 Sb 2.52, 4 U 2.75-2.76
Co 0.5088 0.0176 0.7627  3 Sb 2.52, 4 U 2.75-2.76

Output
Energy relative to the elements, uncorrected in eV/atom: -0.15
Space-group type: No. 166
Total energy in eV/atom: -7.660

4.
Compound: UCoSb2
Source: the Alexandria database
Functional: GGA-PBE
Structure: optimized geometry

Lattice parameters (Å, degrees): 4.1325 4.1325 6.4896 71.43 71.43 60.00
Last column: nearest neighbours and their distance in Å.
Positions (direct):
U 0.0000 0.0000 0.0000  6 Sb 3.06
Sb 0.7723 0.7723 0.6830  3 Co 2.63
Co 0.5000 0.5000 0.5000  6 Sb 2.63
Sb 0.2277 0.2277 0.3170  3 Co 2.63

Output
Energy relative to the elements, uncorrected in eV/atom: -0.02
Space-group type: No. 166
Total energy in eV/atom: -6.681

5.
Compound: UCo2Sb
Source: the Alexandria database
Functional: GGA-PBE
Structure: optimized geometry

Lattice parameters (Å, degrees): 4.5701 4.5701 4.6662 60.68 60.68 60.00
Last column: nearest neighbours and their distance in Å.
Positions (direct):
Sb 0.5000 0.5000 0.5000  6 Co 2.67
Co 0.2007 0.2007 0.3979  1 U 2.32
U 0.0000 0.0000 0.0000  2 Co 2.32
Co 0.7993 0.7993 0.6021  1 U 2.32

Output
Energy relative to the elements, uncorrected in eV/atom: -0.17
Space-group type: No. 166
Total energy in eV/atom: -7.575

6.
Compound: U3Co3Sb4
Source: the Alexandria database
Functional: GGA-PBE
Structure: optimized geometry

Lattice parameters (Å, degrees): 8.0527 8.0527 8.0527 109.47 109.47 109.47
Last column: nearest neighbours and their distance in Å.
Positions (direct):
U 0.1250 0.8750 0.2500  4 Co 2.85
Co 0.6250 0.3750 0.2500  4 Sb 2.60, 4 U 2.85
U 0.7500 0.3750 0.6250  4 Co 2.85
Sb 0.1654 0.5000 0.0000  3 Co 2.60
Sb 0.6654 0.5000 0.0000  3 Co 2.60
U 0.6250 0.7500 0.3750  4 Co 2.85
U 0.3750 0.6250 0.7500  4 Co 2.85
Co 0.2500 0.6250 0.3750  4 Sb 2.60, 4 U 2.85
U 0.2500 0.1250 0.8750  4 Co 2.85
Sb 0.0000 0.6654 0.5000  3 Co 2.60
Co 0.3750 0.2500 0.6250  4 Sb 2.60, 4 U 2.85
Sb 0.5000 0.0000 0.1654  3 Co 2.60
Co 0.1250 0.7500 0.8750  4 Sb 2.60, 4 U 2.85
Sb 0.3346 0.3346 0.3346  3 Co 2.60
Sb 0.0000 0.1654 0.5000  3 Co 2.60
Co 0.7500 0.8750 0.1250  4 Sb 2.60, 4 U 2.85
U 0.8750 0.2500 0.1250  4 Co 2.85
Co 0.8750 0.1250 0.7500  4 Sb 2.60, 4 U 2.85
Sb 0.5000 0.0000 0.6654  3 Co 2.60
Sb 0.8346 0.8346 0.8346  3 Co 2.60

Output
Energy relative to the elements, uncorrected in eV/atom: -0.41
Space-group type: No. 220
Total energy in eV/atom: -7.577

7.
Compound: VCoSb3
Source: the Alexandria database
Functional: GGA-PBE
Structure: optimized geometry

Lattice parameters (Å, degrees): 4.9319 4.9319 4.9319 90.00 90.00 90.00
Last column: nearest neighbours and their distance in Å.
Positions (direct):
Sb 0.0000 0.5000 0.0000  2 Co 2.47
Co 0.0000 0.0000 0.0000  6 Sb 2.47
V 0.5000 0.5000 0.5000  12 Sb 3.49
Sb 0.0000 0.0000 0.5000  2 Co 2.47
Sb 0.5000 0.0000 0.0000  2 Co 2.47

Output
Energy relative to the elements, uncorrected in eV/atom: 0.64
Space-group type: No. 221
Offset from the most stable computed form in eV/atom: 0.0000
Total energy in eV/atom: -5.078

8.
Compound: VCo2Sb2
Source: the Alexandria database
Functional: GGA-PBE
Structure: optimized geometry

Lattice parameters (Å, degrees): 6.6929 6.6929 3.5443 90.00 90.00 90.00
Last column: nearest neighbours and their distance in Å.
Positions (direct):
V 0.5000 0.5000 0.0000  4 Co 2.64
Co 0.8741 0.6259 0.0000  1 Co 2.38, 2 Sb 2.58, 2 V 2.64
Sb 0.6764 0.8236 0.5000  6 Co 2.58-2.71
Sb 0.1764 0.6764 0.5000  6 Co 2.58-2.71
Co 0.3741 0.8741 0.0000  1 Co 2.38, 2 Sb 2.58, 2 V 2.64
Co 0.6259 0.1259 0.0000  1 Co 2.38, 2 Sb 2.58, 2 V 2.64
Co 0.1259 0.3741 0.0000  1 Co 2.38, 2 Sb 2.58, 2 V 2.64
Sb 0.3236 0.1764 0.5000  6 Co 2.58-2.71
Sb 0.8236 0.3236 0.5000  6 Co 2.58-2.71
V 0.0000 0.0000 0.0000  4 Co 2.64

Output
Energy relative to the elements, uncorrected in eV/atom: 0.20
Space-group type: No. 127
Total energy in eV/atom: -6.114

9.
Compound: VCoSb2
Source: the Alexandria database
Functional: GGA-PBE
Structure: optimized geometry

Lattice parameters (Å, degrees): 4.5878 4.5878 4.5878 60.00 60.00 60.00
Last column: nearest neighbours and their distance in Å.
Positions (direct):
V 0.0000 0.0000 0.0000  8 Sb 2.81
Co 0.5000 0.5000 0.5000  8 Sb 2.81
Sb 0.2500 0.2500 0.2500  4 Co 2.81, 4 V 2.81
Sb 0.7500 0.7500 0.7500  4 Co 2.81, 4 V 2.81

Output
Energy relative to the elements, uncorrected in eV/atom: 0.27
Space-group type: No. 225
Total energy in eV/atom: -5.850

10.
Compound: VCoSb2
Source: the Alexandria database
Functional: GGA-PBE
Structure: optimized geometry

Lattice parameters (Å, degrees): 7.1957 7.1957 5.9464 52.77 52.77 90.00
Last column: nearest neighbours and their distance in Å.
Positions (direct):
Co 0.7500 0.2500 0.5000  4 Sb 2.49
Sb 0.3750 0.3384 0.7500  2 Co 2.49
V 0.2500 0.7500 0.5000  4 Sb 2.84, 2 Co 3.08
Co 0.0000 0.0000 0.0000  4 Sb 2.49
Sb 0.6616 0.1250 0.2500  2 Co 2.49
Sb 0.8750 0.9116 0.7500  2 Co 2.49
Sb 0.0884 0.6250 0.2500  2 Co 2.49
V 0.5000 0.5000 0.0000  4 Sb 2.84, 2 Co 3.08

Output
Energy relative to the elements, uncorrected in eV/atom: 0.43
Space-group type: No. 122
Total energy in eV/atom: -5.684

11.
Compound: VCoSb3
Source: the Alexandria database
Functional: GGA-PBE
Structure: optimized geometry

Lattice parameters (Å, degrees): 5.0682 5.0682 5.0682 90.00 90.00 90.00
Last column: nearest neighbours and their distance in Å.
Positions (direct):
Sb 0.0000 0.5000 0.0000  2 V 2.53
Sb 0.5000 0.0000 0.0000  2 V 2.53
Sb 0.0000 0.0000 0.5000  2 V 2.53
V 0.0000 0.0000 0.0000  6 Sb 2.53
Co 0.5000 0.5000 0.5000  12 Sb 3.58

Output
Energy relative to the elements, uncorrected in eV/atom: 0.85
Space-group type: No. 221
Offset from the most stable computed form in eV/atom: 0.2098
Total energy in eV/atom: -4.868

12.
Compound: V3CoSb
Source: the Alexandria database
Functional: GGA-PBE
Structure: optimized geometry

Lattice parameters (Å, degrees): 4.3569 4.3569 4.3569 90.00 90.00 90.00
Last column: nearest neighbours and their distance in Å.
Positions (direct):
V 0.5000 0.0000 0.0000  2 Co 2.18
Co 0.0000 0.0000 0.0000  6 V 2.18
Sb 0.5000 0.5000 0.5000  12 V 3.08
V 0.0000 0.5000 0.0000  2 Co 2.18
V 0.0000 0.0000 0.5000  2 Co 2.18

Output
Energy relative to the elements, uncorrected in eV/atom: 0.48
Space-group type: No. 221
Offset from the most stable computed form in eV/atom: 0.0000
Total energy in eV/atom: -7.236

13.
Compound: VCo2Sb8
Source: the Alexandria database
Functional: GGA-PBE
Structure: optimized geometry

Lattice parameters (Å, degrees): 7.0450 6.3100 6.3100 87.66 93.01 93.01
Last column: nearest neighbours and their distance in Å.
Positions (direct):
Sb 0.1623 0.3990 0.8704  1 Co 2.51
V 0.0000 0.0000 0.0000  2 Co 2.41
Sb 0.1623 0.8704 0.3990  1 Co 2.51
Sb 0.3432 0.8643 0.8643  2 Co 2.50-2.58, 1 V 2.79
Sb 0.3117 0.4235 0.4235  1 Co 2.55
Co 0.3022 0.1432 0.1432  1 V 2.41, 5 Sb 2.50-2.58
Sb 0.6568 0.1357 0.1357  2 Co 2.50-2.58, 1 V 2.79
Sb 0.8377 0.1296 0.6010  1 Co 2.51
Sb 0.6883 0.5765 0.5765  1 Co 2.55
Co 0.6978 0.8568 0.8568  1 V 2.41, 5 Sb 2.50-2.58
Sb 0.8377 0.6010 0.1296  1 Co 2.51

Output
Energy relative to the elements, uncorrected in eV/atom: 0.11
Space-group type: No. 12
Total energy in eV/atom: -5.007